The following is a DFT calculation (PBE) of Mg2NiMo after structural relaxation.

Summary:
The total magnetization is 0.00 μB per cell. The value obtained for the total energy is -4.660 eV per atom. The calculation puts the formation enthalpy at 0 K at 0.29 eV per atom. The calculated volume comes out at 16.0 Å³/atom. The density of states at the Fermi level is 1.06 states/eV per atom. As for the space group: No. 65.

The structure in POSCAR format:
```
Mg2NiMo
1.0
5.499 0.000 0.000
0.000 8.741 0.000
0.000 0.000 2.663
Mg Ni Mo
4 2 2
direct
0.250 0.250 0.000 Mg
0.250 0.750 0.000 Mg
0.750 0.250 0.000 Mg
0.750 0.750 0.000 Mg
0.000 0.000 0.500 Ni
0.500 0.500 0.500 Ni
0.000 0.500 0.500 Mo
0.500 0.000 0.500 Mo
```